No. 1
Below is crystalline ZnPb at its relaxed geometry, with properties calculated at the PBE level.

a b c (Å): 3.5875 3.5875 8.9447
angles (deg): 90.00 90.00 120.00
Space group P-3m1 (No. 164)
Inequivalent atoms, fractional coordinates:
Zn: 0.3333 0.6667 0.0871 [2 per cell]
Pb: 0.3333 0.6667 0.6661 [2 per cell]

The energy of formation from the pure elements comes out at 0.14 eV per atom. For the total energy, the calculation gives -2.35 eV per atom.



No. 2
Below is crystalline ZnPb5 at its relaxed geometry, with properties calculated at the PBE level.

a b c (Å): 5.8832 5.8832 5.9588
angles (deg): 90.00 90.00 120.00
Space group P-62m (No. 189)
Inequivalent atoms, fractional coordinates:
Zn: 0.0000 0.0000 0.0000 [1 per cell]
Pb: 0.0000 0.6694 0.5000 [3 per cell]
Pb: 0.3333 0.6667 0.0000 [2 per cell]

The energy of formation from the pure elements comes out at 0.11 eV per atom. For the total energy, the calculation gives -3.19 eV per atom.



No. 3
Below is crystalline ZnPb at its relaxed geometry, with properties calculated at the PBE level.

a b c (Å): 7.161 9.400 11.782
angles (deg): 90.00 90.00 90.00
Space group Fddd (No. 70, origin choice 2)
Inequivalent atoms, fractional coordinates:
Zn: 0.051 0.375 0.375 [16 per cell]
Pb: 0.125 0.322 0.625 [16 per cell]

The energy of formation from the pure elements comes out at 0.15 eV per atom. For the total energy, the calculation gives -2.34 eV per atom.